No. 1
Compound: BaLi2Fe
Source: the Alexandria database
Functional: PBE
Structure: relaxed

The space group is Pmmm (No. 47) and the conventional cell measures 4.001, 4.868 and 5.387 Å, with angles of 90.00, 90.00 and 90.00 degrees. The asymmetric unit holds Ba at (0.000, 0.000, 0.000), Li at (0.000, 0.500, 0.500), Li at (0.500, 0.000, 0.500) and Fe at (0.500, 0.500, 0.000).

The calculation puts the distance to the lowest polymorph of the same formula at 12.9 kJ per mole of atoms. Its density of states at the Fermi level is 1.246 states/eV/atom.

***

No. 2
Compound: BaLiFe2
Source: the Alexandria database
Functional: PBE
Structure: relaxed

The space group is P2/m (No. 10) and the conventional cell measures 3.161, 4.435 and 6.509 Å, with angles of 90.00, 101.74 and 90.00 degrees. The asymmetric unit holds Ba at (0.000, 0.000, 0.000), Li at (0.500, 0.000, 0.500) and Fe at (0.287, 0.500, 0.636).

The calculation puts the distance to the lowest polymorph of the same formula at 16.6 kJ per mole of atoms. Its density of states at the Fermi level is 1.122 states/eV/atom.

***

No. 3
Compound: BaLiFe2
Source: the Alexandria database
Functional: PBE
Structure: relaxed

The space group is Immm (No. 71) and the conventional cell measures 3.390, 4.681 and 9.775 Å, with angles of 90.00, 90.00 and 90.00 degrees. The asymmetric unit holds Ba at (0.000, 0.000, 0.000), Li at (0.000, 0.000, 0.500) and Fe at (0.000, 0.500, 0.234).

The calculation puts the distance to the lowest polymorph of the same formula at 33.7 kJ per mole of atoms. Its density of states at the Fermi level is 0.790 states/eV/atom.

***

no.,formation enthalpy at 0 K (kJ/mol of formula units)
1,225
2,257
3,325